Entry from the Alexandria database: an optimized crystal structure of TbNd2SnN (PBE).

Properties
M_tot = 0.00 μB/f.u.
formation energy without anion corrections = -4.9 eV per formula unit

a b c (Å): 4.8224 5.0200 5.0200
angles (deg): 90.00 90.00 90.00
Closest atoms and distances in Å follow each position.
Atoms (fractional coordinates):
Nd1 0.0000 0.5000 0.0000  2 N 2.51
Sn1 0.5000 0.5000 0.5000  8 Nd 3.48, 4 Tb 3.55
N1 0.0000 0.0000 0.0000  2 Tb 2.41, 4 Nd 2.51
Tb1 0.5000 0.0000 0.0000  2 N 2.41
Nd2 0.0000 0.0000 0.5000  2 N 2.51